HfSiPtRh2 | PBE | optimized geometry

Summary:
Total DFT energy (no corrections): -35.6 eV/cell
Crystal system: tetragonal
Theoretical density: 11.054 g cm⁻³
Energy relative to the elements, uncorrected: 107 meV/atom

Structure (CIF):
```
data_HfSiPtRh2
_cell_length_a 4.2990
_cell_length_b 4.2990
_cell_length_c 4.9375
_cell_angle_alpha 90.00
_cell_angle_beta 90.00
_cell_angle_gamma 90.00
_space_group_name_H-M_alt 'P 4/m m m'
_space_group_IT_number 123
_space_group_name_Hall '-P 4 2'
loop_
_atom_site_label
_atom_site_fract_x
_atom_site_fract_y
_atom_site_fract_z
Hf1 0.0000 0.0000 0.0000
Si1 0.0000 0.0000 0.5000
Pt1 0.5000 0.5000 0.0000
Rh1 0.0000 0.5000 0.5000
```


SrHfPtRh2 | PBE | optimized geometry

Summary:
Total DFT energy (no corrections): -23.0 eV/cell
Crystal system: tetragonal
Theoretical density: 9.631 g cm⁻³
Energy of formation from the pure elements: 905.3 kJ/mol of formula units

Structure (CIF):
```
data_SrHfPtRh2
_cell_length_a 4.6845
_cell_length_b 4.6845
_cell_length_c 5.2407
_cell_angle_alpha 90.00
_cell_angle_beta 90.00
_cell_angle_gamma 90.00
_space_group_name_H-M_alt 'P 4/m m m'
_space_group_IT_number 123
_space_group_name_Hall '-P 4 2'
loop_
_atom_site_label
_atom_site_fract_x
_atom_site_fract_y
_atom_site_fract_z
Sr1 0.0000 0.0000 0.0000
Hf1 0.0000 0.0000 0.5000
Pt1 0.5000 0.5000 0.5000
Rh1 0.0000 0.5000 0.0000
```


TbHfPtRh | PBE | optimized geometry

Summary:
Total DFT energy (no corrections): -126.2 eV/cell
Crystal system: cubic
Theoretical density: 13.572 g cm⁻³
Energy of formation from the pure elements: -343.7 kJ/mol of formula units

Structure (CIF):
```
data_TbHfPtRh
_cell_length_a 6.7750
_cell_length_b 6.7750
_cell_length_c 6.7750
_cell_angle_alpha 90.00
_cell_angle_beta 90.00
_cell_angle_gamma 90.00
_space_group_name_H-M_alt 'F -4 3 m'
_space_group_IT_number 216
_space_group_name_Hall 'F -4 2 3'
loop_
_atom_site_label
_atom_site_fract_x
_atom_site_fract_y
_atom_site_fract_z
Tb1 0.0000 0.0000 0.0000
Hf1 0.0000 0.0000 0.5000
Pt1 0.2500 0.2500 0.2500
Rh1 0.2500 0.2500 0.7500
```


HfTiPtRh | PBE | optimized geometry

Summary:
Total DFT energy (no corrections): -69.3 eV/cell
Crystal system: tetragonal
Theoretical density: 13.203 g cm⁻³
Energy of formation from the pure elements: -327.7 kJ/mol of formula units

Structure (CIF):
```
data_HfTiPtRh
_cell_length_a 4.1759
_cell_length_b 4.1759
_cell_length_c 7.5635
_cell_angle_alpha 90.00
_cell_angle_beta 90.00
_cell_angle_gamma 90.00
_space_group_name_H-M_alt 'I -4 m 2'
_space_group_IT_number 119
_space_group_name_Hall 'I -4 -2'
loop_
_atom_site_label
_atom_site_fract_x
_atom_site_fract_y
_atom_site_fract_z
Hf1 0.0000 0.0000 0.0000
Ti1 0.0000 0.0000 0.5000
Pt1 0.0000 0.5000 0.7500
Rh1 0.0000 0.5000 0.2500
```


TmHfPtRh | PBE | optimized geometry

Summary:
Total DFT energy (no corrections): -126.9 eV/cell
Crystal system: cubic
Theoretical density: 14.149 g cm⁻³
Energy of formation from the pure elements: -377.1 kJ/mol of formula units

Structure (CIF):
```
data_TmHfPtRh
_cell_length_a 6.7164
_cell_length_b 6.7164
_cell_length_c 6.7164
_cell_angle_alpha 90.00
_cell_angle_beta 90.00
_cell_angle_gamma 90.00
_space_group_name_H-M_alt 'F -4 3 m'
_space_group_IT_number 216
_space_group_name_Hall 'F -4 2 3'
loop_
_atom_site_label
_atom_site_fract_x
_atom_site_fract_y
_atom_site_fract_z
Tm1 0.0000 0.0000 0.0000
Hf1 0.0000 0.0000 0.5000
Pt1 0.2500 0.2500 0.2500
Rh1 0.2500 0.2500 0.7500
```


Hf3RuPt | PBE | optimized geometry

Summary:
Total DFT energy (no corrections): -42.0 eV/cell
Crystal system: cubic
Theoretical density: 11.320 g cm⁻³
Energy above the lowest structure with this stoichiometry: 1.738 eV per formula unit
Energy of formation from the pure elements: 304.3 kJ/mol of formula units

Structure (CIF):
```
data_Hf3RuPt
_cell_length_a 4.9596
_cell_length_b 4.9596
_cell_length_c 4.9596
_cell_angle_alpha 90.00
_cell_angle_beta 90.00
_cell_angle_gamma 90.00
_space_group_name_H-M_alt 'P m -3 m'
_space_group_IT_number 221
_space_group_name_Hall '-P 4 2 3'
loop_
_atom_site_label
_atom_site_fract_x
_atom_site_fract_y
_atom_site_fract_z
Hf1 0.0000 0.0000 0.5000
Ru1 0.5000 0.5000 0.5000
Pt1 0.0000 0.0000 0.0000
```


HfRuPt | PBE | optimized geometry

Summary:
Total DFT energy (no corrections): -157.4 eV/cell
Crystal system: trigonal
Theoretical density: 14.514 g cm⁻³
Energy of formation from the pure elements: -93.7 kJ/mol of formula units

Structure (CIF):
```
data_HfRuPt
_cell_length_a 4.4519
_cell_length_b 4.4519
_cell_length_c 18.9837
_cell_angle_alpha 90.00
_cell_angle_beta 90.00
_cell_angle_gamma 120.00
_space_group_name_H-M_alt 'R -3 m'
_space_group_IT_number 166
_space_group_name_Hall '-R 3 2"'
loop_
_atom_site_label
_atom_site_fract_x
_atom_site_fract_y
_atom_site_fract_z
Hf1 0.0000 0.0000 0.0807
Ru1 0.0000 0.0000 0.2141
Pt1 0.0000 0.0000 0.3645
```


HfRuPt3 | PBE | optimized geometry

Summary:
Total DFT energy (no corrections): -32.6 eV/cell
Crystal system: cubic
Theoretical density: 13.395 g cm⁻³
Energy above the lowest structure with this stoichiometry: 0.000 eV per formula unit
Energy of formation from the pure elements: 456.7 kJ/mol of formula units

Structure (CIF):
```
data_HfRuPt3
_cell_length_a 4.7506
_cell_length_b 4.7506
_cell_length_c 4.7506
_cell_angle_alpha 90.00
_cell_angle_beta 90.00
_cell_angle_gamma 90.00
_space_group_name_H-M_alt 'P m -3 m'
_space_group_IT_number 221
_space_group_name_Hall '-P 4 2 3'
loop_
_atom_site_label
_atom_site_fract_x
_atom_site_fract_y
_atom_site_fract_z
Hf1 0.0000 0.0000 0.0000
Ru1 0.5000 0.5000 0.5000
Pt1 0.0000 0.5000 0.5000
```


Calculated values (states/eV per cell) of N(E_F) for the records, taken in order: 3.67 5.66 20.90 7.50 19.54 9.17 10.41 9.40.